1.
Tb2Si3Pb3O12 | OQMD via LeMat-Bulk | PBE | optimized geometry; magnetization = 0.00 μB/cell; raw total energy = -7.36 eV per atom
1.0
-2.270 7.454 -5.697
-6.845 -4.306 5.270
1.253 4.331 5.167
O Pb Si Tb
24 6 6 4
Direct
0.275 0.370 0.055
0.095 0.725 0.055
0.630 0.905 0.055
0.645 0.160 0.250
0.515 0.355 0.250
0.840 0.485 0.250
0.140 0.523 0.250
0.477 0.617 0.250
0.383 0.860 0.250
0.275 0.370 0.445
0.095 0.725 0.445
0.630 0.905 0.445
0.370 0.095 0.555
0.905 0.275 0.555
0.725 0.630 0.555
0.617 0.140 0.750
0.523 0.383 0.750
0.860 0.477 0.750
0.160 0.515 0.750
0.485 0.645 0.750
0.355 0.840 0.750
0.370 0.095 0.945
0.905 0.275 0.945
0.725 0.630 0.945
0.013 0.247 0.250
0.753 0.766 0.250
0.234 0.987 0.250
0.766 0.013 0.750
0.247 0.234 0.750
0.987 0.753 0.750
0.389 0.419 0.250
0.030 0.611 0.250
0.581 0.970 0.250
0.419 0.030 0.750
0.970 0.389 0.750
0.611 0.581 0.750
0.667 0.333 0.004
0.667 0.333 0.496
0.333 0.667 0.504
0.333 0.667 0.996

***

2.
Zn4SiTePbO10 | OQMD via LeMat-Bulk | PBE | optimized geometry; raw total energy = -5.51 eV per atom
1.0
-1.549 -5.151 -3.720
15.139 -2.611 -2.690
0.337 -4.914 6.664
O Pb Si Te Zn
40 4 4 4 16
Direct
0.293 0.517 0.007
0.293 0.983 0.007
0.587 0.667 0.016
0.587 0.833 0.016
0.031 0.092 0.156
0.031 0.408 0.156
0.697 0.250 0.160
0.279 0.750 0.165
0.973 0.584 0.175
0.973 0.916 0.175
0.473 0.584 0.325
0.473 0.916 0.325
0.779 0.750 0.335
0.197 0.250 0.340
0.531 0.092 0.344
0.531 0.408 0.344
0.087 0.667 0.484
0.087 0.833 0.484
0.793 0.517 0.493
0.793 0.983 0.493
0.207 0.017 0.507
0.207 0.483 0.507
0.913 0.167 0.516
0.913 0.333 0.516
0.469 0.592 0.656
0.469 0.908 0.656
0.803 0.750 0.660
0.221 0.250 0.665
0.527 0.084 0.675
0.527 0.416 0.675
0.027 0.084 0.825
0.027 0.416 0.825
0.721 0.250 0.835
0.303 0.750 0.840
0.969 0.592 0.844
0.969 0.908 0.844
0.413 0.167 0.984
0.413 0.333 0.984
0.707 0.017 0.993
0.707 0.483 0.993
0.058 0.250 0.083
0.558 0.250 0.417
0.442 0.750 0.583
0.942 0.750 0.917
0.434 0.750 0.007
0.934 0.750 0.493
0.066 0.250 0.507
0.566 0.250 0.993
0.000 0.000 0.000
0.000 0.500 0.000
0.500 0.000 0.500
0.500 0.500 0.500
0.468 0.065 0.125
0.468 0.435 0.125
0.714 0.636 0.230
0.714 0.864 0.230
0.214 0.636 0.270
0.214 0.864 0.270
0.968 0.065 0.375
0.968 0.435 0.375
0.032 0.565 0.625
0.032 0.935 0.625
0.786 0.136 0.730
0.786 0.364 0.730
0.286 0.136 0.770
0.286 0.364 0.770
0.532 0.565 0.875
0.532 0.935 0.875